[1]
This record from the Open Quantum Materials Database describes a geometry-optimized GdTlPd structure. The functional is PBE-GGA.

Values from the calculation:
Energy above the most stable polymorph in this dataset   0.196 eV/atom
Mass density   10.6 g cm⁻³

Cell lengths 6.544, 3.900, 11.479 Å; angles 90.00, 90.00, 90.00 degrees
Space group Pnma (No. 62)
Symmetry-distinct sites (fractional):
Gd 0.192 0.250 0.165 [4 per cell]
Tl 0.080 0.750 0.387 [4 per cell]
Pd 0.155 0.750 0.978 [4 per cell]

[2]
This record from the Open Quantum Materials Database describes a geometry-optimized GdTlPd structure. The functional is PBE-GGA.

Values from the calculation:
Energy above the most stable polymorph in this dataset   0.030 eV/atom
Mass density   11.2 g cm⁻³

Cell lengths 7.085, 4.643, 8.401 Å; angles 90.00, 90.00, 90.00 degrees
Space group Pnma (No. 62)
Symmetry-distinct sites (fractional):
Gd 0.026 0.250 0.191 [4 per cell]
Tl 0.163 0.250 0.569 [4 per cell]
Pd 0.244 0.250 0.894 [4 per cell]

[3]
This record from the Open Quantum Materials Database describes a geometry-optimized GdTlPd structure. The functional is PBE-GGA.

Values from the calculation:
Energy above the most stable polymorph in this dataset   0.000 eV/atom
Mass density   11.5 g cm⁻³

Cell lengths 7.6616, 7.6616, 3.9994 Å; angles 90.00, 90.00, 120.00 degrees
Space group P-62m (No. 189)
Symmetry-distinct sites (fractional):
Gd 0.0000 0.5917 0.0000 [3 per cell]
Tl 0.0000 0.2602 0.5000 [3 per cell]
Pd 0.0000 0.0000 0.0000 [1 per cell]
Pd 0.3333 0.6667 0.5000 [2 per cell]

[4]
This record from the Open Quantum Materials Database describes a geometry-optimized GdTlPd structure. The functional is PBE-GGA.

Values from the calculation:
Energy above the most stable polymorph in this dataset   0.366 eV/atom
Mass density   11.3 g cm⁻³

Cell lengths 8.2696, 8.2696, 3.4907 Å; angles 90.00, 90.00, 120.00 degrees
Space group P-62m (No. 189)
Symmetry-distinct sites (fractional):
Gd 0.0000 0.2958 0.0000 [3 per cell]
Tl 0.0000 0.0000 0.5000 [1 per cell]
Tl 0.3333 0.6667 0.0000 [2 per cell]
Pd 0.0000 0.6355 0.5000 [3 per cell]

[5]
This record from the Open Quantum Materials Database describes a geometry-optimized GdTlPd structure. The functional is PBE-GGA.

Values from the calculation:
Energy above the most stable polymorph in this dataset   0.127 eV/atom
Mass density   10.1 g cm⁻³

Cell lengths 6.755, 6.755, 6.755 Å; angles 90.00, 90.00, 90.00 degrees
Space group F-43m (No. 216)
Symmetry-distinct sites (fractional):
Gd 0.000 0.000 0.000 [4 per cell]
Tl 0.000 0.000 0.500 [4 per cell]
Pd 0.250 0.250 0.250 [4 per cell]

[6]
This record from the Open Quantum Materials Database describes a geometry-optimized Gd2Tl8Pd structure. The functional is PBE-GGA.

Values from the calculation:
Total energy   -3.25 eV/atom
Mass density   11.7 g cm⁻³

Cell lengths 4.838, 4.838, 12.490 Å; angles 90.00, 90.00, 90.00 degrees
Space group P4/mmm (No. 123)
Symmetry-distinct sites (fractional):
Gd 0.000 0.000 0.190 [2 per cell]
Tl 0.000 0.500 0.000 [2 per cell]
Tl 0.000 0.500 0.372 [4 per cell]
Tl 0.500 0.500 0.185 [2 per cell]
Pd 0.000 0.000 0.500 [1 per cell]

[7]
This record from the Open Quantum Materials Database describes a geometry-optimized GdTlPd structure. The functional is PBE-GGA.

Values from the calculation:
Energy above the most stable polymorph in this dataset   0.324 eV/atom
Mass density   11.2 g cm⁻³

Cell lengths 5.1031, 5.1031, 6.1675 Å; angles 90.00, 90.00, 120.00 degrees
Space group P6_3/mmc (No. 194)
Symmetry-distinct sites (fractional):
Gd 0.3333 0.6667 0.2500 [2 per cell]
Tl 0.3333 0.6667 0.7500 [2 per cell]
Pd 0.0000 0.0000 0.0000 [2 per cell]

[8]
This record from the Open Quantum Materials Database describes a geometry-optimized GdTlPd structure. The functional is PBE-GGA.

Values from the calculation:
Energy above the most stable polymorph in this dataset   0.576 eV/atom
Mass density   9.5 g cm⁻³

Cell lengths 6.889, 6.889, 6.889 Å; angles 90.00, 90.00, 90.00 degrees
Space group F-43m (No. 216)
Symmetry-distinct sites (fractional):
Gd 0.000 0.000 0.000 [4 per cell]
Tl 0.250 0.250 0.250 [4 per cell]
Pd 0.250 0.250 0.750 [4 per cell]

[9]
This record from the Open Quantum Materials Database describes a geometry-optimized GdTlPd structure. The functional is PBE-GGA.

Values from the calculation:
Energy above the most stable polymorph in this dataset   0.071 eV/atom
Mass density   11.4 g cm⁻³

Cell lengths 4.8111, 4.8111, 6.8044 Å; angles 90.00, 90.00, 120.00 degrees
Space group P6_3mc (No. 186)
Symmetry-distinct sites (fractional):
Gd 0.0000 0.0000 0.0000 [2 per cell]
Tl 0.3333 0.6667 0.2456 [2 per cell]
Pd 0.3333 0.6667 0.7617 [2 per cell]

[10]
This record from the Open Quantum Materials Database describes a geometry-optimized GdTlPd structure. The functional is PBE-GGA.

Values from the calculation:
Energy above the most stable polymorph in this dataset   0.180 eV/atom
Mass density   11.3 g cm⁻³

Cell lengths 7.3422, 7.3422, 4.4325 Å; angles 90.00, 90.00, 120.00 degrees
Space group P-62m (No. 189)
Symmetry-distinct sites (fractional):
Gd 0.0000 0.5733 0.0000 [3 per cell]
Tl 0.0000 0.0000 0.0000 [1 per cell]
Tl 0.3333 0.6667 0.5000 [2 per cell]
Pd 0.0000 0.2411 0.5000 [3 per cell]

[11]
This record from the Open Quantum Materials Database describes a geometry-optimized GdYTl2Pd4 structure. The functional is PBE-GGA.

Values from the calculation:
Total energy   -5.23 eV/atom
Mass density   10.7 g cm⁻³

Cell lengths 4.6675, 4.6675, 8.9005 Å; angles 90.00, 90.00, 120.00 degrees
Space group P-6m2 (No. 187)
Symmetry-distinct sites (fractional):
Gd 0.0000 0.0000 0.0000 [1 per cell]
Y 0.3333 0.6667 0.5000 [1 per cell]
Tl 0.6667 0.3333 0.2510 [2 per cell]
Pd 0.0000 0.0000 0.3398 [2 per cell]
Pd 0.3333 0.6667 0.1608 [2 per cell]

[12]
This record from the Open Quantum Materials Database describes a geometry-optimized GdTmPd2 structure. The functional is PBE-GGA.

Values from the calculation:
Formation enthalpy at 0 K   -0.930 eV/atom
Mass density   10.2 g cm⁻³

Cell lengths 4.529, 5.570, 6.972 Å; angles 90.00, 90.00, 90.00 degrees
Space group Pmc2_1 (No. 26)
Symmetry-distinct sites (fractional):
Gd 0.000 0.107 0.000 [2 per cell]
Tm 0.500 0.393 0.636 [2 per cell]
Pd 0.000 0.408 0.362 [2 per cell]
Pd 0.500 0.100 0.276 [2 per cell]

[13]
This record from the Open Quantum Materials Database describes a geometry-optimized GdYPd2 structure. The functional is PBE-GGA.

Values from the calculation:
Formation enthalpy at 0 K   -0.908 eV/atom
Mass density   8.4 g cm⁻³

Cell lengths 4.578, 3.740, 10.584 Å; angles 90.00, 90.00, 90.00 degrees
Space group Amm2 (No. 38)
Symmetry-distinct sites (fractional):
Gd 0.000 0.000 0.000 [2 per cell]
Y 0.500 0.000 0.275 [2 per cell]
Pd 0.000 0.000 0.724 [2 per cell]
Pd 0.500 0.000 0.551 [2 per cell]

[14]
This record from the Open Quantum Materials Database describes a geometry-optimized GdYPd structure. The functional is PBE-GGA.

Values from the calculation:
Formation enthalpy at 0 K   -0.457 eV/atom
Energy above the most stable polymorph in this dataset   0.000 eV/atom
Mass density   7.0 g cm⁻³

Cell lengths 6.927, 6.927, 6.927 Å; angles 90.00, 90.00, 90.00 degrees
Space group F-43m (No. 216)
Symmetry-distinct sites (fractional):
Gd 0.000 0.000 0.000 [4 per cell]
Y 0.000 0.000 0.500 [4 per cell]
Pd 0.250 0.250 0.250 [4 per cell]

[15]
This record from the Open Quantum Materials Database describes a geometry-optimized GdYPd2 structure. The functional is PBE-GGA.

Values from the calculation:
Formation enthalpy at 0 K   -0.908 eV/atom
Mass density   8.5 g cm⁻³

Cell lengths 4.554, 5.609, 7.052 Å; angles 90.00, 90.00, 90.00 degrees
Space group Pmc2_1 (No. 26)
Symmetry-distinct sites (fractional):
Gd 0.000 0.108 0.000 [2 per cell]
Y 0.500 0.393 0.636 [2 per cell]
Pd 0.000 0.403 0.361 [2 per cell]
Pd 0.500 0.098 0.275 [2 per cell]

[16]
This record from the Open Quantum Materials Database describes a geometry-optimized PmGd structure. The functional is PBE-GGA.

Values from the calculation:
Formation enthalpy at 0 K   1.760 eV/atom
Energy above the most stable polymorph in this dataset   1.735 eV/atom
Mass density   6.6 g cm⁻³

Cell lengths 6.721, 6.721, 6.721 Å; angles 90.00, 90.00, 90.00 degrees
Space group F-43m (No. 216)
Symmetry-distinct sites (fractional):
Pm 0.000 0.000 0.000 [4 per cell]
Gd 0.250 0.250 0.250 [4 per cell]

[17]
This record from the Open Quantum Materials Database describes a geometry-optimized PmGd structure. The functional is PBE-GGA.

Values from the calculation:
Formation enthalpy at 0 K   0.686 eV/atom
Energy above the most stable polymorph in this dataset   0.661 eV/atom
Mass density   7.3 g cm⁻³

Cell lengths 6.488, 6.488, 6.488 Å; angles 90.00, 90.00, 90.00 degrees
Space group Fm-3m (No. 225)
Symmetry-distinct sites (fractional):
Pm 0.000 0.000 0.000 [4 per cell]
Gd 0.000 0.000 0.500 [4 per cell]

[18]
This record from the Open Quantum Materials Database describes a geometry-optimized PmGd structure. The functional is PBE-GGA.

Values from the calculation:
Formation enthalpy at 0 K   0.025 eV/atom
Energy above the most stable polymorph in this dataset   0.000 eV/atom
Mass density   7.5 g cm⁻³

Cell lengths 3.6320, 3.6320, 5.8601 Å; angles 90.00, 90.00, 120.00 degrees
Space group P-6m2 (No. 187)
Symmetry-distinct sites (fractional):
Pm 0.0000 0.0000 0.0000 [1 per cell]
Gd 0.3333 0.6667 0.5000 [1 per cell]

[19]
This record from the Open Quantum Materials Database describes a geometry-optimized PmPrGd structure. The functional is PBE-GGA.

Values from the calculation:
Formation enthalpy at 0 K   0.717 eV/atom
Energy above the most stable polymorph in this dataset   0.000 eV/atom
Mass density   6.1 g cm⁻³

Cell lengths 7.830, 7.830, 7.830 Å; angles 90.00, 90.00, 90.00 degrees
Space group F-43m (No. 216)
Symmetry-distinct sites (fractional):
Pm 0.000 0.000 0.000 [4 per cell]
Pr 0.250 0.250 0.250 [4 per cell]
Gd 0.250 0.250 0.750 [4 per cell]

[20]
This record from the Open Quantum Materials Database describes a geometry-optimized PmGdPt4 structure. The functional is PBE-GGA.

Values from the calculation:
Formation enthalpy at 0 K   -1.081 eV/atom
Mass density   15.6 g cm⁻³

Cell lengths 7.729, 7.729, 7.729 Å; angles 90.00, 90.00, 90.00 degrees
Space group F-43m (No. 216)
Symmetry-distinct sites (fractional):
Pm 0.000 0.000 0.000 [4 per cell]
Gd 0.250 0.250 0.750 [4 per cell]
Pt 0.125 0.125 0.375 [16 per cell]

[21]
This record from the Open Quantum Materials Database describes a geometry-optimized PmGdPu structure. The functional is PBE-GGA.

Values from the calculation:
Formation enthalpy at 0 K   0.819 eV/atom
Mass density   8.4 g cm⁻³

Cell lengths 7.549, 7.549, 7.549 Å; angles 90.00, 90.00, 90.00 degrees
Space group F-43m (No. 216)
Symmetry-distinct sites (fractional):
Pm 0.000 0.000 0.000 [4 per cell]
Gd 0.250 0.250 0.750 [4 per cell]
Pu 0.250 0.250 0.250 [4 per cell]

[22]
This record from the Open Quantum Materials Database describes a geometry-optimized PmGdRe structure. The functional is PBE-GGA.

Values from the calculation:
Formation enthalpy at 0 K   1.140 eV/atom
Mass density   10.2 g cm⁻³

Cell lengths 6.817, 6.817, 6.817 Å; angles 90.00, 90.00, 90.00 degrees
Space group F-43m (No. 216)
Symmetry-distinct sites (fractional):
Pm 0.000 0.000 0.000 [4 per cell]
Gd 0.250 0.250 0.250 [4 per cell]
Re 0.000 0.000 0.500 [4 per cell]

[23]
This record from the Open Quantum Materials Database describes a geometry-optimized PmGdSc structure. The functional is PBE-GGA.

Values from the calculation:
Formation enthalpy at 0 K   0.670 eV/atom
Energy above the most stable polymorph in this dataset   0.000 eV/atom
Mass density   5.5 g cm⁻³

Cell lengths 7.482, 7.482, 7.482 Å; angles 90.00, 90.00, 90.00 degrees
Space group F-43m (No. 216)
Symmetry-distinct sites (fractional):
Pm 0.000 0.000 0.000 [4 per cell]
Gd 0.000 0.000 0.500 [4 per cell]
Sc 0.250 0.250 0.750 [4 per cell]

[24]
This record from the Open Quantum Materials Database describes a geometry-optimized PmGdSi structure. The functional is PBE-GGA.

Values from the calculation:
Energy above the most stable polymorph in this dataset   0.000 eV/atom
Mass density   6.4 g cm⁻³

Cell lengths 6.988, 6.988, 6.988 Å; angles 90.00, 90.00, 90.00 degrees
Space group F-43m (No. 216)
Symmetry-distinct sites (fractional):
Pm 0.000 0.000 0.000 [4 per cell]
Gd 0.000 0.000 0.500 [4 per cell]
Si 0.250 0.250 0.750 [4 per cell]

[25]
This record from the Open Quantum Materials Database describes a geometry-optimized PmSmGd structure. The functional is PBE-GGA.

Values from the calculation:
Formation enthalpy at 0 K   0.723 eV/atom
Energy above the most stable polymorph in this dataset   0.000 eV/atom
Mass density   6.4 g cm⁻³

Cell lengths 7.773, 7.773, 7.773 Å; angles 90.00, 90.00, 90.00 degrees
Space group F-43m (No. 216)
Symmetry-distinct sites (fractional):
Pm 0.000 0.000 0.000 [4 per cell]
Sm 0.250 0.250 0.750 [4 per cell]
Gd 0.000 0.000 0.500 [4 per cell]

[26]
This record from the Open Quantum Materials Database describes a geometry-optimized PmGdSn structure. The functional is PBE-GGA.

Values from the calculation:
Energy above the most stable polymorph in this dataset   0.000 eV/atom
Mass density   6.9 g cm⁻³

Cell lengths 7.386, 7.386, 7.386 Å; angles 90.00, 90.00, 90.00 degrees
Space group F-43m (No. 216)
Symmetry-distinct sites (fractional):
Pm 0.000 0.000 0.000 [4 per cell]
Gd 0.000 0.000 0.500 [4 per cell]
Sn 0.250 0.250 0.750 [4 per cell]

[27]
This record from the Open Quantum Materials Database describes a geometry-optimized PmGdTa structure. The functional is PBE-GGA.

Values from the calculation:
Formation enthalpy at 0 K   1.325 eV/atom
Mass density   8.9 g cm⁻³

Cell lengths 7.110, 7.110, 7.110 Å; angles 90.00, 90.00, 90.00 degrees
Space group F-43m (No. 216)
Symmetry-distinct sites (fractional):
Pm 0.000 0.000 0.000 [4 per cell]
Gd 0.250 0.250 0.750 [4 per cell]
Ta 0.250 0.250 0.250 [4 per cell]

[28]
This record from the Open Quantum Materials Database describes a geometry-optimized PmGdTe structure. The functional is PBE-GGA.

Values from the calculation:
Energy above the most stable polymorph in this dataset   0.000 eV/atom
Mass density   7.4 g cm⁻³

Cell lengths 7.265, 7.265, 7.265 Å; angles 90.00, 90.00, 90.00 degrees
Space group F-43m (No. 216)
Symmetry-distinct sites (fractional):
Pm 0.000 0.000 0.000 [4 per cell]
Gd 0.000 0.000 0.500 [4 per cell]
Te 0.250 0.250 0.250 [4 per cell]